#w
VASP calculation (GGA-PBE) on crystalline PmScSi at its relaxed geometry.

Calculated values
M_tot	0.356	μB/atom

POSCAR file:
```
PmScSi
1.0
-0.862 -4.196 -0.066
3.881 -0.771 -1.643
2.921 -0.713 7.234
Sc Pm Si
2 2 2
Direct
0.500 0.500 0.500
0.000 0.000 0.500
0.500 0.000 0.145
0.000 0.500 0.855
0.500 0.000 0.740
0.000 0.500 0.260
```

---

#x
VASP calculation (GGA-PBE) on crystalline PmScSi at its relaxed geometry.

Calculated values
M_tot	0.000	μB/atom

POSCAR file:
```
PmScSi
1.0
4.773 0.000 0.000
2.387 4.134 0.000
2.387 1.378 3.897
Sc Si Pm
1 1 1
Direct
0.000 0.000 0.000
0.250 0.250 0.250
0.500 0.500 0.500
```

---

Going by the energies, #w is most stable and the next is 15.7 kJ/mol of atoms up.

---

#w
VASP calculation (GGA-PBE) on crystalline Pm7Sm4Sc at its relaxed geometry.

Calculated values
M_tot	0.033	μB/atom

POSCAR file:
```
Pm7Sm4Sc
1.0
5.981 0.000 0.000
2.991 7.834 2.316
2.991 1.404 9.144
Sm Pm Sc
4 7 1
Direct
0.289 0.190 0.232
0.711 0.810 0.768
0.416 0.721 0.448
0.584 0.279 0.552
0.717 0.447 0.120
0.832 0.954 0.382
0.927 0.435 0.711
0.500 0.000 0.000
0.073 0.565 0.289
0.168 0.046 0.618
0.283 0.553 0.880
0.000 0.000 0.000
```

---

#x
VASP calculation (GGA-PBE) on crystalline Pm7Sm4Sc at its relaxed geometry.

Calculated values
M_tot	0.000	μB/atom

POSCAR file:
```
Pm7Sm4Sc
1.0
6.485 -1.834 2.752
0.702 5.842 2.241
2.868 -2.284 10.989
Sm Pm Sc
4 7 1
Direct
0.574 0.276 0.672
0.426 0.724 0.328
0.834 0.774 0.666
0.166 0.226 0.334
0.331 0.781 0.669
0.918 0.724 0.329
0.082 0.276 0.671
0.500 0.000 0.000
0.248 0.500 0.000
0.752 0.500 0.000
0.669 0.219 0.331
0.000 0.000 0.000
```

---

Going by the energies, #x is most stable and the next is 19.0 kJ/mol of atoms up.

---

#w
VASP calculation (GGA-PBE) on crystalline Pm6SmSc at its relaxed geometry.

Calculated values
M_tot	0.000	μB/atom

POSCAR file:
```
Pm6SmSc
1.0
-1.203 -2.391 5.115
3.408 -4.659 0.095
7.100 2.865 5.226
Sm Pm Sc
1 6 1
Direct
0.500 0.500 0.500
0.634 0.634 0.074
0.459 0.945 0.707
0.055 0.541 0.293
0.366 0.366 0.926
0.945 0.459 0.707
0.541 0.055 0.293
0.000 0.000 0.000
```

---

#x
VASP calculation (GGA-PBE) on crystalline Pm6SmSc at its relaxed geometry.

Calculated values
M_tot	0.000	μB/atom

POSCAR file:
```
Pm6SmSc
1.0
5.091 0.000 0.000
0.000 5.091 0.000
0.000 0.000 10.173
Pm Sm Sc
6 1 1
Direct
0.500 0.000 0.256
0.500 0.000 0.744
0.000 0.500 0.744
0.500 0.500 0.000
0.000 0.500 0.256
0.500 0.500 0.500
0.000 0.000 0.000
0.000 0.000 0.500
```

---

Going by the energies, #x is most stable and the next is 32.5 kJ/mol of atoms up.

---

#w
VASP calculation (GGA-PBE) on crystalline Pm2Sm3Sc at its relaxed geometry.

Calculated values
M_tot	0.000	μB/atom

POSCAR file:
```
Pm2Sm3Sc
1.0
-1.727 -1.492 -2.707
4.996 -8.087 1.271
-7.620 -4.654 7.427
Sm Sc Pm
6 2 4
Direct
0.750 0.926 0.122
0.250 0.399 0.404
0.250 0.247 0.139
0.750 0.753 0.861
0.250 0.074 0.878
0.750 0.601 0.596
0.250 0.760 0.358
0.750 0.240 0.642
0.250 0.428 0.842
0.750 0.572 0.158
0.750 0.077 0.377
0.250 0.923 0.623
```

---

#x
VASP calculation (GGA-PBE) on crystalline Pm2Sm3Sc at its relaxed geometry.

Calculated values
M_tot	0.000	μB/atom

POSCAR file:
```
Pm2Sm3Sc
1.0
5.791 0.272 -2.156
0.134 8.295 -4.543
-2.758 -2.104 10.166
Pm Sm Sc
4 6 2
Direct
0.464 0.119 0.915
0.536 0.881 0.085
0.787 0.123 0.582
0.213 0.877 0.418
0.960 0.635 0.920
0.290 0.624 0.582
0.040 0.365 0.080
0.710 0.376 0.418
0.627 0.625 0.253
0.373 0.375 0.747
0.878 0.875 0.754
0.122 0.125 0.246
```

---

Going by the energies, #x is most stable and the next is 4.7 kJ/mol of atoms up.

---

#w
VASP calculation (GGA-PBE) on crystalline Pm6SmSc3 at its relaxed geometry.

Calculated values
M_tot	0.065	μB/atom

POSCAR file:
```
Pm6SmSc3
1.0
-3.176 -7.635 5.186
6.300 -5.294 5.249
0.451 -2.001 6.515
Pm Sc Sm
6 3 1
Direct
0.067 0.400 0.800
0.238 0.900 0.300
0.563 0.238 0.300
0.900 0.563 0.300
0.400 0.733 0.800
0.733 0.067 0.800
0.159 0.159 0.522
0.640 0.640 0.079
0.400 0.400 0.800
0.900 0.900 0.300
```

---

#x
VASP calculation (GGA-PBE) on crystalline Pm6SmSc3 at its relaxed geometry.

Calculated values
M_tot	0.000	μB/atom

POSCAR file:
```
Pm6SmSc3
1.0
6.323 0.000 0.000
0.000 11.138 -2.765
0.000 -5.181 10.240
Sm Sc Pm
2 6 12
Direct
0.511 0.847 0.153
0.011 0.153 0.847
0.987 0.704 0.959
0.606 0.583 0.417
0.987 0.041 0.296
0.487 0.959 0.704
0.106 0.417 0.583
0.487 0.296 0.041
0.587 0.622 0.735
0.327 0.106 0.543
0.087 0.735 0.622
0.087 0.378 0.265
0.260 0.985 0.015
0.327 0.457 0.894
0.587 0.265 0.378
0.807 0.302 0.698
0.307 0.698 0.302
0.827 0.543 0.106
0.827 0.894 0.457
0.760 0.015 0.985
```

---

Going by the energies, #x is most stable and the next is 3.6 kJ/mol of atoms up.

---

#w
VASP calculation (GGA-PBE) on crystalline Pm5Sm4Sc at its relaxed geometry.

Calculated values
M_tot	0.000	μB/atom

POSCAR file:
```
Pm5Sm4Sc
1.0
6.049 0.000 0.000
3.025 7.474 0.000
3.025 0.000 7.474
Pm Sc Sm
5 1 4
Direct
0.675 0.000 0.000
0.156 0.628 0.000
0.784 0.372 0.000
0.155 0.000 0.628
0.784 0.000 0.372
0.212 0.000 0.000
0.436 0.677 0.323
0.113 0.323 0.323
0.436 0.323 0.677
0.759 0.677 0.677
```

---

#x
VASP calculation (GGA-PBE) on crystalline Pm5Sm4Sc at its relaxed geometry.

Calculated values
M_tot	0.000	μB/atom

POSCAR file:
```
Pm5Sm4Sc
1.0
-2.715 0.293 4.049
-4.201 -7.361 -2.283
9.217 -0.527 3.273
Pm Sc Sm
5 1 4
Direct
0.500 0.500 0.000
0.840 0.891 0.679
0.827 0.273 0.655
0.173 0.727 0.345
0.160 0.109 0.321
0.500 0.000 0.000
0.968 0.726 0.937
0.677 0.426 0.354
0.323 0.574 0.646
0.032 0.274 0.063
```

---

Going by the energies, #w is most stable and the next is 1.5 kJ/mol of atoms up.

---

#w
VASP calculation (GGA-PBE) on crystalline PmSm5Sc4 at its relaxed geometry.

Calculated values
M_tot	0.000	μB/atom

POSCAR file:
```
PmSm5Sc4
1.0
-4.310 -4.475 0.341
2.696 -6.729 2.530
-3.606 -0.337 6.770
Sc Sm Pm
4 5 1
Direct
0.509 0.582 0.302
0.811 0.698 0.582
0.092 0.302 0.418
0.393 0.418 0.698
0.200 0.900 0.603
0.100 0.603 0.100
0.680 0.000 0.000
0.702 0.100 0.397
0.802 0.397 0.900
0.222 0.000 0.000
```

---

#x
VASP calculation (GGA-PBE) on crystalline PmSm5Sc4 at its relaxed geometry.

Calculated values
M_tot	0.000	μB/atom

POSCAR file:
```
PmSm5Sc4
1.0
-0.622 -3.294 -1.197
-0.617 -1.094 3.331
-22.836 5.224 -2.512
Sm Pm Sc
5 1 4
Direct
0.500 0.500 0.111
0.500 0.500 0.500
0.500 0.500 0.693
0.500 0.500 0.889
0.500 0.500 0.307
0.000 0.000 0.000
0.000 0.000 0.209
0.000 0.000 0.597
0.000 0.000 0.791
0.000 0.000 0.403
```

---

Going by the energies, #x is most stable and the next is 27.2 kJ/mol of atoms up.

---

#w
VASP calculation (GGA-PBE) on crystalline PmSmSc2 at its relaxed geometry.

Calculated values
M_tot	0.000	μB/atom

POSCAR file:
```
PmSmSc2
1.0
-2.900 -4.598 0.671
2.174 -4.835 -1.378
1.406 -3.581 3.899
Sm Sc Pm
1 2 1
Direct
0.500 0.500 0.500
0.750 0.750 0.750
0.250 0.250 0.250
0.000 0.000 0.000
```

---

#x
VASP calculation (GGA-PBE) on crystalline PmSmSc2 at its relaxed geometry.

Calculated values
M_tot	0.000	μB/atom

POSCAR file:
```
PmSmSc2
1.0
-1.605 -5.315 1.727
3.735 -3.044 1.359
-0.353 -2.144 5.393
Sm Sc Pm
1 2 1
Direct
0.801 0.246 0.495
0.551 0.996 0.245
0.051 0.496 0.745
0.301 0.746 0.994
```

---

Going by the energies, #x is most stable and the next is 2.6 kJ/mol of atoms up.

---

#w
VASP calculation (GGA-PBE) on crystalline PmSmSc2 at its relaxed geometry.

Calculated values
M_tot	0.000	μB/atom

POSCAR file:
```
PmSmSc2
1.0
3.476 0.000 0.000
1.738 3.010 0.000
1.738 1.003 11.085
Sc Pm Sm
2 1 1
Direct
0.083 0.083 0.752
0.251 0.251 0.248
0.500 0.500 0.499
0.666 0.666 0.001
```

---

#x
VASP calculation (GGA-PBE) on crystalline PmSmSc2 at its relaxed geometry.

Calculated values
M_tot	0.000	μB/atom

POSCAR file:
```
PmSmSc2
1.0
-2.524 -1.957 3.310
2.113 -4.434 -1.010
3.620 0.966 3.332
Sc Pm Sm
2 1 1
Direct
0.000 0.000 0.500
0.000 0.500 0.000
0.500 0.500 0.500
0.500 0.000 0.000
```

---

Going by the energies, #x is most stable and the next is 2.4 kJ/mol of atoms up.

---

#w
VASP calculation (GGA-PBE) on crystalline PmSm2Sc2 at its relaxed geometry.

Calculated values
M_tot	0.000	μB/atom

POSCAR file:
```
PmSm2Sc2
1.0
-3.285 -2.705 -4.306
-1.980 -4.778 3.071
-4.849 0.021 0.868
Sc Sm Pm
2 2 1
Direct
0.201 0.905 0.197
0.799 0.095 0.803
0.605 0.705 0.594
0.395 0.295 0.406
0.000 0.500 0.000
```

---

#x
VASP calculation (GGA-PBE) on crystalline PmSm2Sc2 at its relaxed geometry.

Calculated values
M_tot	0.000	μB/atom

POSCAR file:
```
PmSm2Sc2
1.0
-2.080 4.670 -6.781
-3.420 -6.697 3.946
-0.620 4.501 4.692
Sm Sc Pm
4 4 2
Direct
0.207 0.297 0.499
0.297 0.207 0.999
0.703 0.793 0.001
0.793 0.703 0.501
0.650 0.350 0.750
0.249 0.751 0.750
0.751 0.249 0.250
0.350 0.650 0.250
0.159 0.841 0.250
0.841 0.159 0.750
```

---

Going by the energies, #w is most stable and the next is 4.2 kJ/mol of atoms up.

---

#w
VASP calculation (GGA-PBE) on crystalline PmSmSc4 at its relaxed geometry.

Calculated values
M_tot	0.000	μB/atom

POSCAR file:
```
PmSmSc4
1.0
-0.905 6.919 4.846
-3.583 -2.388 -3.218
-0.573 -7.605 6.284
Sc Sm Pm
8 2 2
Direct
0.291 0.540 0.583
0.458 0.708 0.917
0.542 0.292 0.083
0.792 0.043 0.583
0.208 0.957 0.417
0.709 0.460 0.417
0.959 0.209 0.917
0.041 0.791 0.083
0.875 0.125 0.249
0.125 0.875 0.751
0.625 0.375 0.749
0.375 0.625 0.251
```

---

#x
VASP calculation (GGA-PBE) on crystalline PmSmSc4 at its relaxed geometry.

Calculated values
M_tot	0.000	μB/atom

POSCAR file:
```
PmSmSc4
1.0
-1.402 -2.758 -1.442
-0.775 -2.040 8.695
-9.818 4.855 0.264
Sc Pm Sm
8 2 2
Direct
0.996 0.993 0.769
0.105 0.211 0.513
0.661 0.322 0.275
0.449 0.898 0.521
0.895 0.789 0.013
0.004 0.007 0.269
0.551 0.102 0.021
0.339 0.678 0.775
0.337 0.674 0.262
0.663 0.326 0.762
0.219 0.439 0.021
0.781 0.561 0.521
```

---

Going by the energies, #x is most stable and the next is 2.6 kJ/mol of atoms up.